(1)
A relaxed structure of RePtNO. Source: OQMD via LeMat-Bulk, functional PBE-GGA.

It has space group Pca2_1 (No. 29), with a = 5.902 Å, b = 6.495 Å, c = 5.008 Å, α = 90.00°, β = 90.00° and γ = 90.00°. Symmetry generates all atoms from Re at (0.007, 0.114, 0.000), Pt at (0.097, 0.708, 0.970), N at (0.164, 0.133, 0.622) and O at (0.068, 0.589, 0.415).

The total moment is 0.00 μB/f.u.



(2)
A relaxed structure of LaBeBPt. Source: OQMD via LeMat-Bulk, functional PBE-GGA.

It has space group F-43m (No. 216), with a = 6.515 Å, b = 6.515 Å, c = 6.515 Å, α = 90.00°, β = 90.00° and γ = 90.00°. Symmetry generates all atoms from La at (0.000, 0.000, 0.000), Be at (0.000, 0.000, 0.500), B at (0.250, 0.250, 0.250) and Pt at (0.250, 0.250, 0.750).

The total moment is 0.00 μB/f.u.



(3)
A relaxed structure of RbAgPb. Source: OQMD via LeMat-Bulk, functional PBE-GGA.

It has space group R-3m (No. 166, hexagonal axes), with a = 4.8436 Å, b = 4.8436 Å, c = 35.7973 Å, α = 90.00°, β = 90.00° and γ = 120.00°. Symmetry generates all atoms from Rb at (0.0000, 0.0000, 0.0830), Ag at (0.0000, 0.0000, 0.1741) and Pb at (0.0000, 0.0000, 0.3497).



Computed energy (eV/atom) in order:
-7.98, -5.03, -2.39
Computed volume (Å³/cell) in order:
191.97, 276.56, 727.32
Computed distance to the lowest polymorph of the same formula (eV per atom) in order:
0.023, 0.267, 0.000